## one
Crystalline Pm2SiN3 at its relaxed geometry, computed with PBE.

Lattice parameters (Å, degrees): 5.972 5.972 11.707 90.91 90.91 126.75
Fractional coordinates of all 24 atoms:
Pm  0.037  0.434  0.357
Pm  0.132  0.355  0.932
Pm  0.355  0.132  0.432
Pm  0.434  0.037  0.857
Pm  0.566  0.963  0.143
Pm  0.645  0.868  0.568
Pm  0.868  0.645  0.068
Pm  0.963  0.566  0.643
Si  0.259  0.261  0.668
Si  0.261  0.259  0.168
Si  0.739  0.741  0.832
Si  0.741  0.739  0.332
N  0.019  0.981  0.250
N  0.126  0.449  0.142
N  0.142  0.333  0.544
N  0.333  0.142  0.044
N  0.426  0.574  0.750
N  0.449  0.126  0.642
N  0.551  0.874  0.358
N  0.574  0.426  0.250
N  0.667  0.858  0.956
N  0.858  0.667  0.456
N  0.874  0.551  0.858
N  0.981  0.019  0.750

Space-group type: C2/c

***

## two
Crystalline Pm2SiN3 at its relaxed geometry, computed with PBE.

Lattice parameters (Å, degrees): 3.559 3.758 12.227 90.00 90.00 90.00
Fractional coordinates of all 12 atoms:
Pm  0.000  0.000  0.146
Pm  0.000  0.000  0.854
Pm  0.500  0.500  0.354
Pm  0.500  0.500  0.646
Si  0.000  0.000  0.500
Si  0.500  0.500  0.000
N  0.000  0.000  0.346
N  0.000  0.000  0.654
N  0.000  0.500  0.500
N  0.500  0.000  0.000
N  0.500  0.500  0.154
N  0.500  0.500  0.846

Space-group type: Immm

***

Stability verdict: one, ahead by 13.0 kJ/mol of atoms

***

## one
Crystalline Pm2SiN at its relaxed geometry, computed with PBE.

Lattice parameters (Å, degrees): 3.991 21.314 3.809 90.00 90.00 90.00
Fractional coordinates of all 16 atoms:
Pm  0.000  0.081  0.250
Pm  0.000  0.304  0.250
Pm  0.000  0.696  0.750
Pm  0.000  0.919  0.750
Pm  0.500  0.196  0.750
Pm  0.500  0.419  0.750
Pm  0.500  0.581  0.250
Pm  0.500  0.804  0.250
Si  0.000  0.465  0.250
Si  0.000  0.535  0.750
Si  0.500  0.035  0.750
Si  0.500  0.965  0.250
N  0.000  0.194  0.250
N  0.000  0.806  0.750
N  0.500  0.306  0.750
N  0.500  0.694  0.250

Space-group type: Cmcm

***

## two
Crystalline Pm2SiN at its relaxed geometry, computed with PBE.

Lattice parameters (Å, degrees): 3.684 3.684 21.482 90.00 90.00 120.00
Fractional coordinates of all 12 atoms:
Pm  0.000  0.000  0.233
Pm  0.000  0.000  0.767
Pm  0.333  0.667  0.434
Pm  0.333  0.667  0.899
Pm  0.667  0.333  0.101
Pm  0.667  0.333  0.566
Si  0.000  0.000  0.000
Si  0.333  0.667  0.667
Si  0.667  0.333  0.333
N  0.000  0.000  0.500
N  0.333  0.667  0.167
N  0.667  0.333  0.833

Space-group type: R-3m

***

Stability verdict: one, ahead by 11.0 kJ/mol of atoms

***

## one
Crystalline Pm2SmN2 at its relaxed geometry, computed with PBE.

Lattice parameters (Å, degrees): 3.587 5.169 10.984 90.00 90.00 90.00
Fractional coordinates of all 10 atoms:
Pm  0.000  0.000  0.181
Pm  0.000  0.000  0.819
Pm  0.500  0.500  0.319
Pm  0.500  0.500  0.681
Sm  0.000  0.000  0.500
Sm  0.500  0.500  0.000
N  0.000  0.500  0.168
N  0.000  0.500  0.832
N  0.500  0.000  0.332
N  0.500  0.000  0.668

Space-group type: Immm

***

## two
Crystalline Pm2SmN2 at its relaxed geometry, computed with PBE.

Lattice parameters (Å, degrees): 6.305 6.305 7.318 108.30 108.30 48.16
Fractional coordinates of all 10 atoms:
Pm  0.007  0.007  0.234
Pm  0.336  0.336  0.926
Pm  0.664  0.664  0.074
Pm  0.993  0.993  0.766
Sm  0.343  0.343  0.405
Sm  0.657  0.657  0.595
N  0.166  0.166  0.084
N  0.497  0.497  0.252
N  0.503  0.503  0.748
N  0.834  0.834  0.916

Space-group type: C2/m

***

Stability verdict: two, ahead by 0.5 kJ/mol of atoms

***

## one
Crystalline PmSm3N3 at its relaxed geometry, computed with PBE.

Lattice parameters (Å, degrees): 5.079 5.079 5.079 90.00 90.00 90.00
Fractional coordinates of all 7 atoms:
Pm  0.000  0.000  0.000
Sm  0.000  0.500  0.500
Sm  0.500  0.000  0.500
Sm  0.500  0.500  0.000
N  0.000  0.000  0.500
N  0.000  0.500  0.000
N  0.500  0.000  0.000

Space-group type: Pm-3m

***

## two
Crystalline PmSm3N3 at its relaxed geometry, computed with PBE.

Lattice parameters (Å, degrees): 9.741 9.741 9.741 37.73 37.73 37.73
Fractional coordinates of all 14 atoms:
Pm  0.167  0.167  0.167
Pm  0.833  0.833  0.833
Sm  0.083  0.399  0.716
Sm  0.284  0.917  0.601
Sm  0.399  0.716  0.083
Sm  0.601  0.284  0.917
Sm  0.716  0.083  0.399
Sm  0.917  0.601  0.284
N  0.071  0.807  0.440
N  0.193  0.560  0.929
N  0.440  0.071  0.807
N  0.560  0.929  0.193
N  0.807  0.440  0.071
N  0.929  0.193  0.560

Space-group type: R-3

***

Stability verdict: one, ahead by 16.1 kJ/mol of atoms

***

## one
Crystalline Pm2SnN at its relaxed geometry, computed with PBE.

Lattice parameters (Å, degrees): 3.577 3.577 27.502 90.00 90.00 120.00
Fractional coordinates of all 12 atoms:
Pm  0.000  0.000  0.117
Pm  0.000  0.000  0.883
Pm  0.333  0.667  0.550
Pm  0.333  0.667  0.783
Pm  0.667  0.333  0.217
Pm  0.667  0.333  0.450
Sn  0.000  0.000  0.000
Sn  0.333  0.667  0.667
Sn  0.667  0.333  0.333
N  0.000  0.000  0.500
N  0.333  0.667  0.167
N  0.667  0.333  0.833

Space-group type: R-3m

***

## two
Crystalline Pm2SnN at its relaxed geometry, computed with PBE.

Lattice parameters (Å, degrees): 3.222 3.222 7.994 90.00 90.00 90.00
Fractional coordinates of all 4 atoms:
Pm  0.000  0.000  0.185
Pm  0.000  0.000  0.815
Sn  0.500  0.500  0.500
N  0.500  0.500  0.000

Space-group type: P4/mmm

***

Stability verdict: one, ahead by 8.1 kJ/mol of atoms

***

## one
Crystalline Pm6Sn2N at its relaxed geometry, computed with PBE.

Lattice parameters (Å, degrees): 3.482 8.829 8.829 109.94 90.00 90.00
Fractional coordinates of all 9 atoms:
Pm  0.000  0.000  0.000
Pm  0.000  0.599  0.823
Pm  0.000  0.823  0.599
Pm  0.500  0.219  0.724
Pm  0.500  0.389  0.389
Pm  0.500  0.724  0.219
Sn  0.000  0.062  0.384
Sn  0.000  0.384  0.062
N  0.500  0.841  0.841

Space-group type: Amm2

***

## two
Crystalline Pm6Sn2N at its relaxed geometry, computed with PBE.

Lattice parameters (Å, degrees): 7.061 7.061 7.061 60.00 60.00 60.00
Fractional coordinates of all 9 atoms:
Pm  0.245  0.245  0.755
Pm  0.245  0.755  0.245
Pm  0.245  0.755  0.755
Pm  0.755  0.245  0.245
Pm  0.755  0.245  0.755
Pm  0.755  0.755  0.245
Sn  0.250  0.250  0.250
Sn  0.750  0.750  0.750
N  0.000  0.000  0.000

Space-group type: Fm-3m

***

Stability verdict: two, ahead by 18.1 kJ/mol of atoms

***

## one
Crystalline PmSnN at its relaxed geometry, computed with PBE.

Lattice parameters (Å, degrees): 3.788 3.788 5.541 90.00 90.00 120.00
Fractional coordinates of all 3 atoms:
Pm  0.000  0.000  0.000
Sn  0.667  0.333  0.509
N  0.333  0.667  0.875

Space-group type: P3m1

***

## two
Crystalline PmSnN at its relaxed geometry, computed with PBE.

Lattice parameters (Å, degrees): 3.600 3.600 9.688 90.00 90.00 90.00
Fractional coordinates of all 6 atoms:
Pm  0.250  0.250  0.128
Pm  0.750  0.750  0.872
Sn  0.250  0.250  0.637
Sn  0.750  0.750  0.363
N  0.250  0.250  0.882
N  0.750  0.750  0.118

Space-group type: P4/nmm

***

Stability verdict: two, ahead by 45.6 kJ/mol of atoms

***

## one
Crystalline PmSnN at its relaxed geometry, computed with PBE.

Lattice parameters (Å, degrees): 4.217 4.217 8.186 90.00 90.00 90.00
Fractional coordinates of all 6 atoms:
Pm  0.250  0.250  0.121
Pm  0.750  0.750  0.879
Sn  0.250  0.250  0.563
Sn  0.750  0.750  0.437
N  0.250  0.750  0.000
N  0.750  0.250  0.000

Space-group type: P4/nmm

***

## two
Crystalline PmSnN at its relaxed geometry, computed with PBE.

Lattice parameters (Å, degrees): 3.488 3.488 11.498 90.00 90.00 90.00
Fractional coordinates of all 6 atoms:
Pm  0.000  0.000  0.000
Pm  0.500  0.500  0.500
Sn  0.000  0.000  0.291
Sn  0.500  0.500  0.791
N  0.000  0.000  0.484
N  0.500  0.500  0.984

Space-group type: I4mm

***

Stability verdict: two, ahead by 1.7 kJ/mol of atoms

***

## one
Crystalline PmTaN2 at its relaxed geometry, computed with PBE.

Lattice parameters (Å, degrees): 3.201 3.201 17.730 90.00 90.00 120.00
Fractional coordinates of all 12 atoms:
Pm  0.000  0.000  0.000
Pm  0.333  0.667  0.667
Pm  0.667  0.333  0.333
Ta  0.000  0.000  0.176
Ta  0.333  0.667  0.842
Ta  0.667  0.333  0.509
N  0.000  0.000  0.434
N  0.000  0.000  0.578
N  0.333  0.667  0.101
N  0.333  0.667  0.244
N  0.667  0.333  0.768
N  0.667  0.333  0.911

Space-group type: R3m

***

## two
Crystalline PmTaN2 at its relaxed geometry, computed with PBE.

Lattice parameters (Å, degrees): 3.270 3.270 16.865 90.00 90.00 120.00
Fractional coordinates of all 12 atoms:
Pm  0.000  0.000  0.000
Pm  0.333  0.667  0.667
Pm  0.667  0.333  0.333
Ta  0.000  0.000  0.500
Ta  0.333  0.667  0.167
Ta  0.667  0.333  0.833
N  0.000  0.000  0.234
N  0.000  0.000  0.766
N  0.333  0.667  0.433
N  0.333  0.667  0.901
N  0.667  0.333  0.099
N  0.667  0.333  0.567

Space-group type: R-3m

***

## three
Crystalline PmTaN2 at its relaxed geometry, computed with PBE.

Lattice parameters (Å, degrees): 5.788 3.351 11.059 90.00 90.00 90.00
Fractional coordinates of all 16 atoms:
Pm  0.087  0.250  0.137
Pm  0.413  0.750  0.637
Pm  0.587  0.250  0.363
Pm  0.913  0.750  0.863
Ta  0.082  0.750  0.388
Ta  0.418  0.250  0.888
Ta  0.582  0.750  0.112
Ta  0.918  0.250  0.612
N  0.163  0.250  0.754
N  0.227  0.250  0.488
N  0.273  0.750  0.988
N  0.337  0.750  0.254
N  0.663  0.250  0.746
N  0.727  0.250  0.012
N  0.773  0.750  0.512
N  0.837  0.750  0.246

Space-group type: Pnma

***

Stability verdict: three, ahead by 8.2 kJ/mol of atoms

***

## one
Crystalline Pm3TaN4 at its relaxed geometry, computed with PBE.

Lattice parameters (Å, degrees): 8.037 6.800 5.192 90.00 90.00 90.00
Fractional coordinates of all 16 atoms:
Pm  0.000  0.161  0.000
Pm  0.246  0.332  0.502
Pm  0.254  0.668  0.002
Pm  0.500  0.839  0.500
Pm  0.746  0.668  0.002
Pm  0.754  0.332  0.502
Ta  0.000  0.823  0.455
Ta  0.500  0.177  0.955
N  0.000  0.117  0.499
N  0.000  0.825  0.076
N  0.225  0.695  0.497
N  0.275  0.305  0.997
N  0.500  0.175  0.576
N  0.500  0.883  0.999
N  0.725  0.305  0.997
N  0.775  0.695  0.497

Space-group type: Pmn2_1

***

## two
Crystalline Pm3TaN4 at its relaxed geometry, computed with PBE.

Lattice parameters (Å, degrees): 6.993 9.775 3.429 90.00 90.00 90.00
Fractional coordinates of all 16 atoms:
Pm  0.000  0.000  0.000
Pm  0.250  0.250  0.500
Pm  0.250  0.750  0.500
Pm  0.500  0.500  0.000
Pm  0.750  0.250  0.500
Pm  0.750  0.750  0.500
Ta  0.000  0.500  0.000
Ta  0.500  0.000  0.000
N  0.000  0.277  0.000
N  0.000  0.723  0.000
N  0.216  0.500  0.500
N  0.284  0.000  0.500
N  0.500  0.223  0.000
N  0.500  0.777  0.000
N  0.716  0.000  0.500
N  0.784  0.500  0.500

Space-group type: Cmmm

***

Stability verdict: two, ahead by 3.0 kJ/mol of atoms

***

## one
Crystalline TbPmN at its relaxed geometry, computed with PBE.

Lattice parameters (Å, degrees): 6.116 6.116 6.116 90.00 90.00 90.00
Fractional coordinates of all 12 atoms:
Tb  0.000  0.000  0.000
Tb  0.000  0.500  0.500
Tb  0.500  0.000  0.500
Tb  0.500  0.500  0.000
Pm  0.000  0.000  0.500
Pm  0.000  0.500  0.000
Pm  0.500  0.000  0.000
Pm  0.500  0.500  0.500
N  0.250  0.250  0.250
N  0.250  0.750  0.750
N  0.750  0.250  0.750
N  0.750  0.750  0.250

Space-group type: F-43m

***

## two
Crystalline TbPmN at its relaxed geometry, computed with PBE.

Lattice parameters (Å, degrees): 4.732 4.732 7.800 90.00 90.00 90.00
Fractional coordinates of all 6 atoms:
Tb  0.000  0.000  0.000
Tb  0.500  0.500  0.500
Pm  0.000  0.000  0.535
Pm  0.500  0.500  0.035
N  0.000  0.000  0.263
N  0.500  0.500  0.763

Space-group type: I4mm

***

## three
Crystalline TbPmN at its relaxed geometry, computed with PBE.

Lattice parameters (Å, degrees): 3.552 3.552 6.233 90.00 90.00 120.00
Fractional coordinates of all 3 atoms:
Tb  0.000  0.000  0.000
Pm  0.667  0.333  0.436
N  0.333  0.667  0.200

Space-group type: P3m1

***

Stability verdict: three, ahead by 60.2 kJ/mol of atoms

***

## one
Crystalline Tb2PmN at its relaxed geometry, computed with PBE.

Lattice parameters (Å, degrees): 3.523 3.523 27.369 90.00 90.00 120.00
Fractional coordinates of all 12 atoms:
Tb  0.000  0.000  0.217
Tb  0.000  0.000  0.783
Tb  0.333  0.667  0.450
Tb  0.333  0.667  0.883
Tb  0.667  0.333  0.117
Tb  0.667  0.333  0.550
Pm  0.000  0.000  0.000
Pm  0.333  0.667  0.667
Pm  0.667  0.333  0.333
N  0.000  0.000  0.500
N  0.333  0.667  0.167
N  0.667  0.333  0.833

Space-group type: R-3m

***

## two
Crystalline Tb2PmN at its relaxed geometry, computed with PBE.

Lattice parameters (Å, degrees): 3.188 3.188 8.957 90.00 90.00 90.00
Fractional coordinates of all 4 atoms:
Tb  0.000  0.000  0.159
Tb  0.000  0.000  0.841
Pm  0.500  0.500  0.500
N  0.500  0.500  0.000

Space-group type: P4/mmm

***

Stability verdict: one, ahead by 56.1 kJ/mol of atoms